one:
VASP calculation (PBE) on KTaPO2 after structural relaxation.

a = 4.0728 Å, b = 4.0728 Å, c = 5.0659 Å
α = 90.00°, β = 90.00°, γ = 90.00°
Last column: nearest neighbours and their distance in Å.
Fractional coordinates of all 5 atoms:
K 0.5000 0.5000 0.5000  4 P 2.88
O 0.5000 0.0000 0.0000  2 Ta 2.04
O 0.0000 0.5000 0.0000  2 Ta 2.04
Ta 0.0000 0.0000 0.0000  4 O 2.04
P 0.0000 0.0000 0.5000  2 Ta 2.53

Summary:
magnetization = 0.90 μB/cell

---

two:
VASP calculation (PBE) on KTaPO2 after structural relaxation.

a = 3.9512 Å, b = 3.9512 Å, c = 5.5006 Å
α = 90.00°, β = 90.00°, γ = 90.00°
Last column: nearest neighbours and their distance in Å.
Fractional coordinates of all 5 atoms:
K 0.0000 0.0000 0.0000  4 O 1.98
O 0.5000 0.0000 0.0000  2 K 1.98
O 0.0000 0.5000 0.0000  2 K 1.98
Ta 0.5000 0.5000 0.5000  4 P 2.79
P 0.0000 0.0000 0.5000  2 K 2.75, 4 Ta 2.79

Summary:
magnetization = 0.43 μB/cell

---

Stability ranking, top entry: one; the second entry is 268.1 kJ/mol of atoms less favorable.

---

one:
VASP calculation (PBE) on KTaP2O after structural relaxation.

a = 5.0205 Å, b = 5.0205 Å, c = 4.0087 Å
α = 90.00°, β = 90.00°, γ = 90.00°
Last column: nearest neighbours and their distance in Å.
Fractional coordinates of all 5 atoms:
K 0.5000 0.5000 0.5000  8 P 3.21, 4 O 3.55
O 0.0000 0.0000 0.5000  2 Ta 2.00
P 0.0000 0.5000 0.0000  2 Ta 2.51
P 0.5000 0.0000 0.0000  2 Ta 2.51
Ta 0.0000 0.0000 0.0000  2 O 2.00

Summary:
magnetization = 0.51 μB/cell

---

two:
VASP calculation (PBE) on KTaP2O after structural relaxation.

a = 4.9673 Å, b = 4.9673 Å, c = 3.8598 Å
α = 90.00°, β = 90.00°, γ = 90.00°
Last column: nearest neighbours and their distance in Å.
Fractional coordinates of all 5 atoms:
K 0.0000 0.0000 0.0000  2 O 1.93
Ta 0.5000 0.5000 0.5000  8 P 3.15, 4 O 3.51
P 0.5000 0.0000 0.0000  2 K 2.48
P 0.0000 0.5000 0.0000  2 K 2.48
O 0.0000 0.0000 0.5000  2 K 1.93

Summary:
magnetization = 0.00 μB/cell

---

Stability ranking, top entry: one; the second entry is 241.7 kJ/mol of atoms less favorable.